Compound: CaMg2ScNi
Source: Alexandria
Functional: PBE-GGA
Structure: relaxed

Values from the calculation:
Total magnetization ... 0.00 μB/cell
Space group ... P4/mmm
Total energy ... -3.553 eV per atom
Density of states at the Fermi level ... 0.61 states/eV/atom

abc: 5.043 5.043 4.764
angles: 90.00 90.00 90.00
Element x y z (fractional)
Sc 0.000 0.000 0.500
Ni 0.000 0.000 0.000
Ca 0.500 0.500 0.500
Mg 0.000 0.500 0.000
Mg 0.500 0.000 0.000